# 1
The following is a PBE-GGA calculation of a relaxed Ca2Ac3Ga4Cu2 crystal, from the Alexandria database.

Unit cell a=4.2592 b=4.2592 c=20.8025 alpha=90.00 beta=90.00 gamma=120.00
Element x y z (fractional)
Ga: 0.6667 0.3333 0.6684
Ca: 0.6667 0.3333 0.4213
Ac: 0.0000 0.0000 0.0000
Ca: 0.3333 0.6667 0.5787
Cu: 0.6667 0.3333 0.8863
Ac: 0.0000 0.0000 0.7767
Cu: 0.3333 0.6667 0.1137
Ga: 0.3333 0.6667 0.3316
Ga: 0.6667 0.3333 0.1108
Ga: 0.3333 0.6667 0.8892
Ac: 0.0000 0.0000 0.2233

Calculated values
- N(E_F): 1.26 states/eV/atom
- Total energy: -3.611 eV/atom
- Calculated formation energy: -0.281 eV/atom

=====

# 2
The following is a PBE-GGA calculation of a relaxed CaAcGaCu crystal, from the Alexandria database.

Unit cell a=5.3231 b=5.3231 c=5.3231 alpha=60.00 beta=60.00 gamma=60.00
Element x y z (fractional)
Ga: 0.0000 0.0000 0.0000
Ac: 0.2500 0.2500 0.2500
Ca: 0.7500 0.7500 0.7500
Cu: 0.5000 0.5000 0.5000

Calculated values
- N(E_F): 0.83 states/eV/atom
- Energy above the most stable polymorph in this dataset: 10 meV/atom
- Total energy: -3.585 eV/atom
- Calculated formation energy: -0.277 eV/atom

=====

# 3
The following is a PBE-GGA calculation of a relaxed CaAc2Ga4Cu3 crystal, from the Alexandria database.

Unit cell a=4.4072 b=4.4072 c=11.5694 alpha=90.00 beta=90.00 gamma=90.00
Element x y z (fractional)
Ac: 0.5000 0.0000 0.2219
Cu: 0.0000 0.0000 0.5000
Ga: 0.5000 0.0000 0.6696
Ca: 0.5000 0.5000 0.5000
Ga: 0.0000 0.5000 0.3304
Ac: 0.0000 0.5000 0.7781
Ga: 0.5000 0.5000 0.0000
Cu: 0.5000 0.0000 0.8855
Cu: 0.0000 0.5000 0.1145
Ga: 0.0000 0.0000 0.0000

Calculated values
- N(E_F): 0.72 states/eV/atom
- Total energy: -3.801 eV/atom
- Calculated formation energy: -0.339 eV/atom

=====

# 4
The following is a PBE-GGA calculation of a relaxed CaAcGaCu crystal, from the Alexandria database.

Unit cell a=4.0899 b=4.4416 c=6.3907 alpha=90.00 beta=108.66 gamma=90.00
Element x y z (fractional)
Cu: 0.3348 0.0000 0.6696
Ca: 0.0287 0.0000 0.0574
Ga: 0.4605 0.5000 0.9209
Ac: 0.7456 0.5000 0.4913

Calculated values
- N(E_F): 0.92 states/eV/atom
- Energy above the most stable polymorph in this dataset: 0 meV/atom
- Total energy: -3.595 eV/atom
- Calculated formation energy: -0.287 eV/atom

=====

# 5
The following is a PBE-GGA calculation of a relaxed CaAcCu2Ge2 crystal, from the Alexandria database.

Unit cell a=4.3040 b=4.3040 c=8.3749 alpha=90.00 beta=90.00 gamma=120.00
Element x y z (fractional)
Ge: 0.6667 0.3333 0.7392
Cu: 0.3333 0.6667 0.7283
Cu: 0.6667 0.3333 0.2717
Ca: 0.0000 0.0000 0.5000
Ac: 0.0000 0.0000 0.0000
Ge: 0.3333 0.6667 0.2608

Calculated values
- N(E_F): 0.56 states/eV/atom
- Total energy: -4.459 eV/atom
- Calculated formation energy: -0.537 eV/atom

=====

# 6
The following is a PBE-GGA calculation of a relaxed CaAc2Cu3Ge4 crystal, from the Alexandria database.

Unit cell a=4.4476 b=4.4476 c=11.0674 alpha=90.00 beta=90.00 gamma=90.00
Element x y z (fractional)
Ca: 0.5000 0.5000 0.5000
Cu: 0.0000 0.0000 0.5000
Ge: 0.5000 0.0000 0.6625
Ge: 0.0000 0.0000 0.0000
Ac: 0.5000 0.0000 0.2278
Cu: 0.5000 0.0000 0.8874
Ge: 0.5000 0.5000 0.0000
Ge: 0.0000 0.5000 0.3375
Cu: 0.0000 0.5000 0.1126
Ac: 0.0000 0.5000 0.7722

Calculated values
- N(E_F): 0.46 states/eV/atom
- Total energy: -4.561 eV/atom
- Calculated formation energy: -0.463 eV/atom

=====

# 7
The following is a PBE-GGA calculation of a relaxed Ca2AcCu2Ge2 crystal, from the Alexandria database.

Unit cell a=4.3025 b=4.3025 c=11.8483 alpha=79.54 beta=79.54 gamma=60.00
Element x y z (fractional)
Ca: 0.8831 0.8831 0.3506
Cu: 0.3981 0.3981 0.8058
Ge: 0.7306 0.7306 0.8083
Ca: 0.1169 0.1169 0.6494
Cu: 0.6019 0.6019 0.1942
Ge: 0.2694 0.2694 0.1917
Ac: 0.0000 0.0000 0.0000

Calculated values
- N(E_F): 0.76 states/eV/atom
- Total energy: -4.127 eV/atom
- Calculated formation energy: -0.479 eV/atom

=====

# 8
The following is a PBE-GGA calculation of a relaxed CaAcCuGe crystal, from the Alexandria database.

Unit cell a=5.2974 b=5.2974 c=5.2974 alpha=60.00 beta=60.00 gamma=60.00
Element x y z (fractional)
Ac: 0.5000 0.5000 0.5000
Ca: 0.0000 0.0000 0.0000
Cu: 0.7500 0.7500 0.7500
Ge: 0.2500 0.2500 0.2500

Calculated values
- N(E_F): 0.37 states/eV/atom
- Total energy: -4.116 eV/atom
- Calculated formation energy: -0.410 eV/atom

=====

# 9
The following is a PBE-GGA calculation of a relaxed CaAcCu2H8 crystal, from the Alexandria database.

Unit cell a=4.7174 b=4.7174 c=7.5712 alpha=71.85 beta=71.85 gamma=60.00
Element x y z (fractional)
H: 0.9118 0.5444 0.1887
Cu: 0.7512 0.7512 0.7465
H: 0.1710 0.1710 0.4870
Ca: 0.0000 0.0000 0.0000
H: 0.8290 0.8290 0.5130
H: 0.6449 0.0882 0.8113
Ac: 0.5000 0.5000 0.5000
H: 0.3551 0.9118 0.1887
H: 0.5444 0.3551 0.1887
Cu: 0.2488 0.2488 0.2535
H: 0.0882 0.4556 0.8113
H: 0.4556 0.6449 0.8113

Calculated values
- N(E_F): 0.41 states/eV/atom
- Total energy: -3.646 eV/atom

=====

# 10
The following is a PBE-GGA calculation of a relaxed CaAcInCu crystal, from the Alexandria database.

Unit cell a=5.4817 b=5.4817 c=5.4817 alpha=60.00 beta=60.00 gamma=60.00
Element x y z (fractional)
Ca: 0.5000 0.5000 0.5000
Cu: 0.2500 0.2500 0.2500
Ac: 0.0000 0.0000 0.0000
In: 0.7500 0.7500 0.7500

Calculated values
- N(E_F): 0.87 states/eV/atom
- Total energy: -3.475 eV/atom
- Calculated formation energy: -0.239 eV/atom

=====

# 11
The following is a PBE-GGA calculation of a relaxed NaCaAcCu crystal, from the Alexandria database.

Unit cell a=5.5443 b=5.5443 c=5.5443 alpha=60.00 beta=60.00 gamma=60.00
Element x y z (fractional)
Na: 0.7500 0.7500 0.7500
Ac: 0.0000 0.0000 0.0000
Ca: 0.5000 0.5000 0.5000
Cu: 0.2500 0.2500 0.2500

Calculated values
- N(E_F): 0.98 states/eV/atom
- Total energy: -2.738 eV/atom
- Calculated formation energy: 0.143 eV/atom

=====

# 12
The following is a PBE-GGA calculation of a relaxed CaAcCuNi crystal, from the Alexandria database.

Unit cell a=4.1458 b=4.2123 c=6.0723 alpha=90.00 beta=109.96 gamma=90.00
Element x y z (fractional)
Cu: 0.4574 0.5000 0.9148
Ac: 0.7535 0.5000 0.5070
Ca: 0.0293 0.0000 0.0586
Ni: 0.3294 0.0000 0.6588

Calculated values
- N(E_F): 0.70 states/eV/atom
- Energy above the most stable polymorph in this dataset: 0 meV/atom
- Total energy: -4.188 eV/atom
- Calculated formation energy: -0.191 eV/atom

=====

# 13
The following is a PBE-GGA calculation of a relaxed CaAcCuNi crystal, from the Alexandria database.

Unit cell a=5.1344 b=5.1344 c=5.1344 alpha=60.00 beta=60.00 gamma=60.00
Element x y z (fractional)
Ac: 0.0000 0.0000 0.0000
Ca: 0.5000 0.5000 0.5000
Ni: 0.7500 0.7500 0.7500
Cu: 0.2500 0.2500 0.2500

Calculated values
- N(E_F): 1.06 states/eV/atom
- Energy above the most stable polymorph in this dataset: 119 meV/atom
- Total energy: -4.069 eV/atom
- Calculated formation energy: -0.072 eV/atom

=====

# 14
The following is a PBE-GGA calculation of a relaxed CaAc2CuO6 crystal, from the Alexandria database.

Unit cell a=5.7827 b=5.7885 c=8.1438 alpha=90.00 beta=90.00 gamma=90.00
Each line ends with the local moment (μB).
Element x y z (fractional)
O: 0.2350 0.5155 0.0000  0.07
Ca: 0.0000 0.7499 0.5000  0.04
Ac: 0.5000 0.7501 0.2497  0.00
O: 0.5000 0.2498 0.2662  0.05
O: 0.7650 0.5155 0.0000  0.07
O: 0.2650 0.4845 0.5000  0.07
O: 0.5000 0.2498 0.7338  0.05
Cu: 0.0000 0.7501 0.0000  0.39
Ca: 0.5000 0.2501 0.0000  0.04
O: 0.7650 0.9847 0.0000  0.07
Cu: 0.5000 0.2499 0.5000  0.39
O: 0.0000 0.7502 0.2338  0.05
Ac: 0.0000 0.2499 0.7497  0.00
Ac: 0.0000 0.2499 0.2503  0.00
O: 0.7350 0.4845 0.5000  0.07
O: 0.7350 0.0153 0.5000  0.07
O: 0.0000 0.7502 0.7662  0.05
O: 0.2650 0.0153 0.5000  0.07
O: 0.2350 0.9847 0.0000  0.07
Ac: 0.5000 0.7501 0.7503  0.00

Calculated values
- N(E_F): 0.33 states/eV/atom
- Total energy: -6.674 eV/atom

=====

# 15
The following is a PBE-GGA calculation of a relaxed CaAc2Cu2O6 crystal, from the Alexandria database.

Unit cell a=5.9244 b=5.9244 c=6.7548 alpha=63.99 beta=63.99 gamma=60.00
Each line ends with the local moment (μB).
Element x y z (fractional)
O: 0.2090 0.7495 0.2919  0.16
O: 0.2505 0.2505 0.7081  0.16
O: 0.2505 0.7910 0.7081  0.16
O: 0.7495 0.7495 0.2919  0.16
Cu: 0.5756 0.5756 0.2731  0.49
Cu: 0.4244 0.4244 0.7269  0.49
Ac: 0.2068 0.2068 0.3797  -0.01
O: 0.7495 0.2090 0.2919  0.16
Ca: 0.0000 0.0000 0.0000  0.00
O: 0.7910 0.2505 0.7081  0.16
Ac: 0.7932 0.7932 0.6203  -0.01

Calculated values
- N(E_F): 0.36 states/eV/atom
- Total energy: -6.394 eV/atom

=====

# 16
The following is a PBE-GGA calculation of a relaxed CaAcCuO4 crystal, from the Alexandria database.

Unit cell a=6.1088 b=4.9679 c=7.3660 alpha=90.00 beta=110.37 gamma=90.00
Element x y z (fractional)
Ac: 0.2678 0.2500 0.5481
Cu: 0.8341 0.2500 0.8041
O: 0.4208 0.7500 0.1192
Cu: 0.1659 0.7500 0.1959
O: 0.0347 0.4869 0.7651
O: 0.4426 0.7500 0.6096
Ca: 0.6554 0.7500 0.9391
O: 0.5792 0.2500 0.8808
O: 0.0347 0.0131 0.7651
O: 0.9653 0.5131 0.2349
O: 0.5574 0.2500 0.3904
O: 0.9653 0.9869 0.2349
Ca: 0.3446 0.2500 0.0609
Ac: 0.7322 0.7500 0.4519

Calculated values
- N(E_F): 0.32 states/eV/atom
- Total energy: -6.301 eV/atom

=====

# 17
The following is a PBE-GGA calculation of a relaxed CaAcCu2P2 crystal, from the Alexandria database.

Unit cell a=4.0765 b=4.0765 c=8.4297 alpha=90.00 beta=90.00 gamma=120.00
Element x y z (fractional)
Ca: 0.0000 0.0000 0.5000
Cu: 0.6667 0.3333 0.2573
Ac: 0.0000 0.0000 0.0000
Cu: 0.3333 0.6667 0.7427
P: 0.3333 0.6667 0.2651
P: 0.6667 0.3333 0.7349

Calculated values
- N(E_F): 0.36 states/eV/atom
- Total energy: -5.069 eV/atom
- Calculated formation energy: -0.882 eV/atom

=====

# 18
The following is a PBE-GGA calculation of a relaxed CaAcCu2Pt2 crystal, from the Alexandria database.

Unit cell a=4.3815 b=4.3815 c=7.8955 alpha=90.00 beta=90.00 gamma=120.00
Element x y z (fractional)
Ca: 0.0000 0.0000 0.5000
Pt: 0.6667 0.3333 0.2552
Ac: 0.0000 0.0000 0.0000
Cu: 0.6667 0.3333 0.7259
Pt: 0.3333 0.6667 0.7448
Cu: 0.3333 0.6667 0.2741

Calculated values
- N(E_F): 0.68 states/eV/atom
- Total energy: -5.072 eV/atom
- Calculated formation energy: -0.675 eV/atom

=====

# 19
The following is a PBE-GGA calculation of a relaxed CaAcCuRh crystal, from the Alexandria database.

Unit cell a=5.1393 b=5.1393 c=5.1393 alpha=60.00 beta=60.00 gamma=60.00
Element x y z (fractional)
Cu: 0.2500 0.2500 0.2500
Ca: 0.5000 0.5000 0.5000
Ac: 0.0000 0.0000 0.0000
Rh: 0.7500 0.7500 0.7500

Calculated values
- N(E_F): 0.40 states/eV/atom
- Energy above the most stable polymorph in this dataset: 118 meV/atom
- Total energy: -4.685 eV/atom
- Calculated formation energy: -0.295 eV/atom

=====

# 20
The following is a PBE-GGA calculation of a relaxed CaAcCuRh crystal, from the Alexandria database.

Unit cell a=4.1301 b=4.2720 c=6.0647 alpha=90.00 beta=109.91 gamma=90.00
Element x y z (fractional)
Cu: 0.5712 0.5000 0.1423
Ca: 0.1384 0.0000 0.2768
Rh: 0.4284 0.0000 0.8569
Ac: 0.8620 0.5000 0.7239

Calculated values
- N(E_F): 0.62 states/eV/atom
- Energy above the most stable polymorph in this dataset: 0 meV/atom
- Total energy: -4.803 eV/atom
- Calculated formation energy: -0.414 eV/atom

=====

# 21
The following is a PBE-GGA calculation of a relaxed CaAcCuRu crystal, from the Alexandria database.

Unit cell a=5.1060 b=5.1060 c=5.1060 alpha=60.00 beta=60.00 gamma=60.00
Element x y z (fractional)
Ca: 0.0000 0.0000 0.0000
Ac: 0.5000 0.5000 0.5000
Ru: 0.7500 0.7500 0.7500
Cu: 0.2500 0.2500 0.2500

Calculated values
- N(E_F): 0.50 states/eV/atom
- Total energy: -4.828 eV/atom
- Calculated formation energy: 0.043 eV/atom

=====

# 22
The following is a PBE-GGA calculation of a relaxed Ca3Ac3CuS8 crystal, from the Alexandria database.

Unit cell a=8.4057 b=8.3075 c=8.3086 alpha=120.64 beta=90.00 gamma=120.39
Element x y z (fractional)
S: 0.7565 0.5130 0.7657
Cu: 0.0000 0.0000 0.5000
S: 0.2509 0.9925 0.2376
Ca: 0.5000 0.5000 0.0000
S: 0.7491 0.0075 0.7624
S: 0.7416 0.9925 0.2376
S: 0.7931 0.5863 0.2880
S: 0.2584 0.0075 0.7624
Ac: 0.5000 0.5000 0.5000
Ca: 0.0000 0.5000 0.0000
S: 0.2069 0.4137 0.7120
S: 0.2435 0.4870 0.2343
Ac: 0.0000 0.5000 0.5000
Ac: 0.5000 0.0000 0.5000
Ca: 0.0000 0.0000 0.0000

Calculated values
- N(E_F): 0.26 states/eV/atom
- Total energy: -5.462 eV/atom

=====

# 23
The following is a PBE-GGA calculation of a relaxed Ca2AcCuS4 crystal, from the Alexandria database.

Unit cell a=4.0308 b=6.8802 c=13.8049 alpha=90.00 beta=90.00 gamma=107.03
Element x y z (fractional)
S: 0.7262 0.4524 0.8762
Cu: 0.1539 0.3078 0.2500
S: 0.2738 0.5476 0.1238
Cu: 0.8461 0.6922 0.7500
Ca: 0.6309 0.2619 0.4422
Ca: 0.6309 0.2619 0.0578
Ca: 0.3691 0.7381 0.9422
Ca: 0.3691 0.7381 0.5578
S: 0.4429 0.8858 0.7500
S: 0.5571 0.1142 0.2500
S: 0.2738 0.5476 0.3762
S: 0.0000 0.0000 0.0000
S: 0.0000 0.0000 0.5000
S: 0.7262 0.4524 0.6238
Ac: 0.1127 0.2253 0.7500
Ac: 0.8873 0.7747 0.2500

Calculated values
- Total energy: -5.381 eV/atom

=====

# 24
The following is a PBE-GGA calculation of a relaxed CaAcCu2Sb2 crystal, from the Alexandria database.

Unit cell a=4.4850 b=4.4850 c=8.7462 alpha=90.00 beta=90.00 gamma=120.00
Element x y z (fractional)
Ac: 0.0000 0.0000 0.0000
Sb: 0.3333 0.6667 0.2669
Ca: 0.0000 0.0000 0.5000
Sb: 0.6667 0.3333 0.7331
Cu: 0.3333 0.6667 0.7583
Cu: 0.6667 0.3333 0.2417

Calculated values
- N(E_F): 0.38 states/eV/atom
- Total energy: -4.468 eV/atom

=====

# 25
The following is a PBE-GGA calculation of a relaxed CaAcCuSb crystal, from the Alexandria database.

Unit cell a=5.4670 b=5.4670 c=5.4670 alpha=60.00 beta=60.00 gamma=60.00
Element x y z (fractional)
Cu: 0.7500 0.7500 0.7500
Ac: 0.0000 0.0000 0.0000
Sb: 0.2500 0.2500 0.2500
Ca: 0.5000 0.5000 0.5000

Calculated values
- N(E_F): 0.85 states/eV/atom
- Total energy: -4.064 eV/atom